--- a ---
Entry from Alexandria: a relaxed structure of Cd3InHg6 (GGA-PBE).

Cell and atoms, written as extended XYZ:
```
20
Lattice="10.8694 0.0000 0.0000 0.0000 3.3945 0.0000 -3.4548 0.0000 14.0096" Properties=species:S:1:pos:R:3 pbc="T T T"
Cd -1.1028 0.8486 5.8205
Cd 4.1157 0.8486 0.5270
Cd 2.9230 0.8486 8.0141
Cd 4.4916 2.5459 5.9955
Cd 3.2989 2.5459 13.4826
Cd 8.5173 2.5459 8.1891
In 1.3179 0.8486 2.8934
In 6.0967 2.5459 11.1162
Hg -2.1099 0.8486 11.1324
Hg 1.3937 2.5459 0.0947
Hg 0.1599 0.8486 8.9302
Hg 1.4490 2.5459 5.7371
Hg 0.4706 2.5459 11.8973
Hg 4.2734 0.8486 3.5025
Hg 3.1411 2.5459 10.5071
Hg 6.9440 0.8486 2.1123
Hg 5.9656 0.8486 8.2724
Hg 7.2547 2.5459 5.0794
Hg 6.0208 0.8486 13.9149
Hg 9.5245 2.5459 2.8772
```

Summary:
crystal system = monoclinic

=====

--- b ---
Entry from Alexandria: a relaxed structure of Cd3InHg6 (GGA-PBE).

Cell and atoms, written as extended XYZ:
```
10
Lattice="3.6700 0.0000 0.0000 -1.8350 3.1783 0.0000 0.0000 0.0000 22.1365" Properties=species:S:1:pos:R:3 pbc="T T T"
Cd 0.0000 0.0000 0.0000
Cd 0.0000 0.0000 6.6109
Cd 0.0000 0.0000 15.5257
In 0.0000 0.0000 11.0683
Hg 0.0000 2.1189 2.1932
Hg 0.0000 2.1189 8.7764
Hg 0.0000 2.1189 17.6930
Hg 1.8350 1.0594 4.4436
Hg 1.8350 1.0594 13.3601
Hg 1.8350 1.0594 19.9433
```

Summary:
crystal system = trigonal

=====

Question: of the structures shown, which is the least stable? Reply: a.